The following is a PBE calculation of a relaxed structure of Pm4Pr2Sm, from Alexandria via LeMat-Bulk.

```
14
Lattice="7.0572 0.0000 0.0000 0.0000 10.5761 0.0000 -2.0899 0.0000 6.8072" Properties=species:S:1:pos:R:3 pbc="T T T"
Pm 1.2143 2.2611 1.2977
Pm 1.2143 8.3150 1.2977
Pm 0.1907 2.9748 4.6935
Pm 0.1907 7.6012 4.6935
Pm 4.7766 2.9748 2.1137
Pm 4.7766 7.6012 2.1137
Pm 3.7530 2.2611 5.5095
Pm 3.7530 8.3150 5.5095
Pr 0.0000 5.2880 0.0000
Pr 3.5286 0.0000 0.0000
Pr 3.5286 5.2880 0.0000
Pr 2.4837 5.2880 3.4036
Sm -1.0450 0.0000 3.4036
Sm 2.4837 0.0000 3.4036
```

The value obtained for the energy above the most stable polymorph in this dataset is 0.1746 eV per atom.

***

The following is a PBE calculation of a relaxed structure of Pm6Pr3Sm2, from Alexandria via LeMat-Bulk.

```
11
Lattice="3.6646 0.0000 0.0000 1.8227 6.0718 0.0000 0.0010 0.0027 17.2093" Properties=species:S:1:pos:R:3 pbc="T T T"
Pm 0.9110 2.4884 5.4728
Pm 0.9156 1.3775 16.4209
Pm 0.9177 0.2738 10.1759
Pm 4.5706 5.8007 7.0333
Pm 4.5727 4.6970 0.7884
Pm 4.5773 3.5861 11.7365
Pr 2.7440 4.1453 14.8560
Pr 2.7442 3.0372 8.6046
Pr 2.7443 1.9292 2.3533
Sm 2.7376 5.2419 3.9182
Sm 2.7508 0.8326 13.2911
```

The value obtained for the energy above the most stable polymorph in this dataset is 0.0000 eV per atom.

***

The following is a PBE calculation of a relaxed structure of PmPr5Sm8, from Alexandria via LeMat-Bulk.

```
14
Lattice="-4.8789 4.8789 5.1902 4.8789 -4.8789 5.1902 4.8789 4.8789 -5.1902" Properties=species:S:1:pos:R:3 pbc="T T T"
Pm 0.0000 0.0000 0.0000
Pr 2.8157 -1.0517 3.3752
Pr 3.8272 2.0632 1.8150
Pr 2.0632 5.9306 -1.8150
Pr 0.0000 4.8789 2.5951
Pr 1.0517 2.8157 7.0052
Sm 6.6505 0.7969 -0.0527
Sm 4.1798 3.1646 -1.5441
Sm 0.7969 3.1073 0.0527
Sm 0.6991 1.7143 3.6461
Sm 1.7143 -0.6991 6.7342
Sm 4.0820 1.7716 5.2428
Sm 3.1646 5.5780 1.5441
Sm -1.7716 4.0820 5.1375
```

***

The following is a PBE calculation of a relaxed structure of PmPr7Sm4, from Alexandria via LeMat-Bulk.

```
12
Lattice="6.4239 0.0000 0.0000 0.0033 7.4199 0.0000 2.1449 0.0042 8.9091" Properties=species:S:1:pos:R:3 pbc="T T T"
Pm 0.0000 0.0000 0.0000
Pr 0.0017 3.7099 0.0000
Pr 2.1457 7.4209 2.9668
Pr 3.2223 5.5586 5.9407
Pr 5.3548 1.8668 8.8997
Pr 3.2172 5.5574 0.0095
Pr 5.3498 1.8655 2.9684
Pr 6.4263 0.0032 5.9424
Sm 2.1380 3.7127 2.9717
Sm 3.2151 1.8693 5.9506
Sm 5.3570 5.5548 2.9585
Sm 6.4341 3.7114 5.9374
```

The value obtained for the energy above the most stable polymorph in this dataset is 0.0000 eV per atom.

***

The following is a PBE calculation of a relaxed structure of Pm5Pr2Sm, from Alexandria via LeMat-Bulk.

```
16
Lattice="7.3264 0.0000 0.0000 0.0000 14.6562 0.0000 0.0000 0.0000 5.1772" Properties=species:S:1:pos:R:3 pbc="T T T"
Pm 0.0000 0.0000 0.0000
Pm 0.0054 3.6674 0.0000
Pm 1.8349 5.4967 2.5886
Pm 1.8283 12.8248 2.5886
Pm 3.6578 10.9955 0.0000
Pm 3.6632 7.3281 0.0000
Pm 3.6687 3.6607 0.0000
Pm 5.4981 1.8313 2.5886
Pm 5.4915 9.1594 2.5886
Pm 7.3210 10.9888 0.0000
Pr 1.8279 9.1575 2.5886
Pr 1.8353 1.8294 2.5886
Pr 5.4911 12.8267 2.5886
Pr 5.4985 5.4986 2.5886
Sm 0.0000 7.3281 0.0000
Sm 3.6632 0.0000 0.0000
```

The value obtained for the energy above the most stable polymorph in this dataset is 0.0000 eV per atom.

***

The following is a PBE calculation of a relaxed structure of Pm5Pr4Sm2, from Alexandria via LeMat-Bulk.

```
11
Lattice="-1.7842 4.7414 11.7452 1.7842 -4.7414 11.7452 1.7842 4.7414 -11.7452" Properties=species:S:1:pos:R:3 pbc="T T T"
Pm 0.0000 0.0000 0.0000
Pm 1.7842 1.8934 -3.4845
Pm 1.7842 1.8934 3.4845
Pm 0.0000 2.8479 8.2606
Pm 0.0000 2.8479 15.2297
Pr 1.7842 2.8066 0.0000
Pr 1.7842 0.0000 9.4937
Pr 0.0000 4.7414 2.2515
Pr 0.0000 1.9348 11.7452
Sm 1.7842 0.0000 6.3364
Sm 0.0000 4.7414 5.4088
```

The value obtained for the energy above the most stable polymorph in this dataset is 0.1279 eV per atom.

***

The following is a PBE calculation of a relaxed structure of PmPr2Sm6, from Alexandria via LeMat-Bulk.

```
9
Lattice="8.6849 -4.9939 0.0000 8.6849 4.9939 0.0000 -0.0047 0.0000 3.5498" Properties=species:S:1:pos:R:3 pbc="T T T"
Pm 0.0000 0.0000 0.0000
Pr 5.7893 0.0000 0.0001
Pr 11.5758 0.0000 3.5497
Sm 11.5699 -3.3294 1.7764
Sm 5.7952 3.3294 1.7733
Sm 8.6826 1.6756 1.7749
Sm 11.5699 3.3294 1.7764
Sm 5.7952 -3.3294 1.7733
Sm 8.6826 -1.6756 1.7749
```

The value obtained for the energy above the most stable polymorph in this dataset is 0.0000 eV per atom.

***

The following is a PBE calculation of a relaxed structure of Pm4Pr2Sm, from Alexandria via LeMat-Bulk.

```
7
Lattice="1.8335 1.0586 20.9199 -1.8335 1.0586 20.9199 0.0000 -2.1171 20.9199" Properties=species:S:1:pos:R:3 pbc="T T T"
Pm 0.0000 0.0000 8.9781
Pm 0.0000 0.0000 17.9681
Pm 0.0000 0.0000 44.7916
Pm 0.0000 0.0000 53.7816
Pr 0.0000 0.0000 26.8844
Pr 0.0000 0.0000 35.8752
Sm 0.0000 0.0000 0.0000
```

The value obtained for the energy above the most stable polymorph in this dataset is 0.0000 eV per atom.

***

no.,E (eV per atom),Fermi-level density of states (states/eV/f.u.)
1,-4.57,9.722
2,-4.74,16.748
3,-4.52,20.366
4,-4.75,15.644
5,-4.74,12.650
6,-4.53,15.739
7,-4.68,12.793
8,-4.74,9.454